--- one ---
The following is a DFT calculation (PBE) of a relaxed structure of CaCoCu2.

Geometry as CIF:
```
data_CaCoCu2
_symmetry_space_group_name_H-M 'I -4 m 2'
_symmetry_Int_Tables_number 119
_symmetry_space_group_name_Hall 'I -4 -2'
_cell_length_a 3.920
_cell_length_b 3.920
_cell_length_c 8.071
_cell_angle_alpha 90.00
_cell_angle_beta 90.00
_cell_angle_gamma 90.00
loop_
_atom_site_label
_atom_site_fract_x
_atom_site_fract_y
_atom_site_fract_z
_atom_site_occupancy
Ca1 0.000 0.000 0.000 1
Co1 0.000 0.500 0.750 1
Cu1 0.000 0.000 0.500 1
Cu2 0.000 0.500 0.250 1
```

Summary:
Mass density ... 6.1 g/cm3
Density of states at the Fermi level ... 6.35 states/eV per cell

--- two ---
The following is a DFT calculation (PBE) of a relaxed structure of CaCoCu2.

Geometry as CIF:
```
data_CaCoCu2
_symmetry_space_group_name_H-M 'I -4 2 d'
_symmetry_Int_Tables_number 122
_symmetry_space_group_name_Hall 'I -4 2bw'
_cell_length_a 4.465
_cell_length_b 4.465
_cell_length_c 16.396
_cell_angle_alpha 90.00
_cell_angle_beta 90.00
_cell_angle_gamma 90.00
loop_
_atom_site_label
_atom_site_fract_x
_atom_site_fract_y
_atom_site_fract_z
_atom_site_occupancy
Ca1 0.000 0.000 0.000 1
Co1 0.000 0.000 0.500 1
Cu1 0.057 0.250 0.625 1
```

Summary:
Mass density ... 4.6 g/cm3
Density of states at the Fermi level ... 24.89 states/eV per cell

Q: Which of them is the least stable? A: two.

--- one ---
The following is a DFT calculation (PBE) of a relaxed structure of CaCoCu2.

Geometry as CIF:
```
data_CaCoCu2
_symmetry_space_group_name_H-M 'C 1 m 1'
_symmetry_Int_Tables_number 8
_symmetry_space_group_name_Hall 'C -2y'
_cell_length_a 7.160
_cell_length_b 4.133
_cell_length_c 5.414
_cell_angle_alpha 90.00
_cell_angle_beta 115.97
_cell_angle_gamma 90.00
loop_
_atom_site_label
_atom_site_fract_x
_atom_site_fract_y
_atom_site_fract_z
_atom_site_occupancy
Ca1 0.000 0.000 0.000 1
Co1 0.312 0.500 0.436 1
Cu1 0.192 0.000 0.577 1
Cu2 0.493 0.000 0.478 1
```

Summary:
Mass density ... 5.2 g/cm3
Density of states at the Fermi level ... 9.13 states/eV per cell

--- two ---
The following is a DFT calculation (PBE) of a relaxed structure of CaCoCu2.

Geometry as CIF:
```
data_CaCoCu2
_symmetry_space_group_name_H-M 'F -4 3 m'
_symmetry_Int_Tables_number 216
_symmetry_space_group_name_Hall 'F -4 2 3'
_cell_length_a 6.262
_cell_length_b 6.262
_cell_length_c 6.262
_cell_angle_alpha 90.00
_cell_angle_beta 90.00
_cell_angle_gamma 90.00
loop_
_atom_site_label
_atom_site_fract_x
_atom_site_fract_y
_atom_site_fract_z
_atom_site_occupancy
Ca1 0.000 0.000 0.000 1
Co1 0.250 0.250 0.250 1
Cu1 0.000 0.000 0.500 1
Cu2 0.250 0.250 0.750 1
```

Summary:
Mass density ... 6.1 g/cm3
Density of states at the Fermi level ... 25.14 states/eV per cell

Q: Which of them is the least stable? A: two.

--- one ---
The following is a DFT calculation (PBE) of a relaxed structure of CaCoCu2.

Geometry as CIF:
```
data_CaCoCu2
_symmetry_space_group_name_H-M 'P 4 m m'
_symmetry_Int_Tables_number 99
_symmetry_space_group_name_Hall 'P 4 -2'
_cell_length_a 3.155
_cell_length_b 3.155
_cell_length_c 6.413
_cell_angle_alpha 90.00
_cell_angle_beta 90.00
_cell_angle_gamma 90.00
loop_
_atom_site_label
_atom_site_fract_x
_atom_site_fract_y
_atom_site_fract_z
_atom_site_occupancy
Ca1 0.000 0.000 0.000 1
Co1 0.500 0.500 0.304 1
Cu1 0.000 0.000 0.487 1
Cu2 0.500 0.500 0.682 1
```

Summary:
Mass density ... 5.9 g/cm3
Density of states at the Fermi level ... 3.45 states/eV per cell

--- two ---
The following is a DFT calculation (PBE) of a relaxed structure of CaCoCu2.

Geometry as CIF:
```
data_CaCoCu2
_symmetry_space_group_name_H-M 'P 1 m 1'
_symmetry_Int_Tables_number 6
_symmetry_space_group_name_Hall 'P -2y'
_cell_length_a 2.871
_cell_length_b 4.201
_cell_length_c 5.356
_cell_angle_alpha 90.00
_cell_angle_beta 98.63
_cell_angle_gamma 90.00
loop_
_atom_site_label
_atom_site_fract_x
_atom_site_fract_y
_atom_site_fract_z
_atom_site_occupancy
Ca1 0.000 0.000 0.000 1
Co1 0.808 0.500 0.361 1
Cu1 0.419 0.500 0.740 1
Cu2 0.421 0.000 0.487 1
```

Summary:
Mass density ... 5.9 g/cm3
Density of states at the Fermi level ... 2.87 states/eV per cell

--- three ---
The following is a DFT calculation (PBE) of a relaxed structure of CaCoCu2.

Geometry as CIF:
```
data_CaCoCu2
_symmetry_space_group_name_H-M 'F m -3 m'
_symmetry_Int_Tables_number 225
_symmetry_space_group_name_Hall '-F 4 2 3'
_cell_length_a 6.347
_cell_length_b 6.347
_cell_length_c 6.347
_cell_angle_alpha 90.00
_cell_angle_beta 90.00
_cell_angle_gamma 90.00
loop_
_atom_site_label
_atom_site_fract_x
_atom_site_fract_y
_atom_site_fract_z
_atom_site_occupancy
Ca1 0.000 0.000 0.000 1
Co1 0.000 0.000 0.500 1
Cu1 0.250 0.250 0.250 1
```

Summary:
Mass density ... 5.9 g/cm3
Density of states at the Fermi level ... 18.13 states/eV per cell

--- four ---
The following is a DFT calculation (PBE) of a relaxed structure of CaCoCu2.

Geometry as CIF:
```
data_CaCoCu2
_symmetry_space_group_name_H-M 'R -3 m'
_symmetry_Int_Tables_number 166
_symmetry_space_group_name_Hall '-R 3 2"'
_cell_length_a 2.9327
_cell_length_b 2.9327
_cell_length_c 25.8241
_cell_angle_alpha 90.00
_cell_angle_beta 90.00
_cell_angle_gamma 120.00
loop_
_atom_site_label
_atom_site_fract_x
_atom_site_fract_y
_atom_site_fract_z
_atom_site_occupancy
Ca1 0.0000 0.0000 0.0000 1
Co1 0.0000 0.0000 0.5000 1
Cu1 0.0000 0.0000 0.2390 1
```

Summary:
Mass density ... 5.9 g/cm3
Density of states at the Fermi level ... 11.51 states/eV per cell

Q: Which of them is the least stable? A: four.

--- one ---
The following is a DFT calculation (PBE) of a relaxed structure of CaCo2Cu2.

Geometry as CIF:
```
data_CaCo2Cu2
_symmetry_space_group_name_H-M 'I 4/m m m'
_symmetry_Int_Tables_number 139
_symmetry_space_group_name_Hall '-I 4 2'
_cell_length_a 3.711
_cell_length_b 3.711
_cell_length_c 11.331
_cell_angle_alpha 90.00
_cell_angle_beta 90.00
_cell_angle_gamma 90.00
loop_
_atom_site_label
_atom_site_fract_x
_atom_site_fract_y
_atom_site_fract_z
_atom_site_occupancy
Ca1 0.000 0.000 0.000 1
Co1 0.000 0.500 0.250 1
Cu1 0.000 0.000 0.391 1
```

Summary:
Mass density ... 6.1 g/cm3
Density of states at the Fermi level ... 11.39 states/eV per cell

--- two ---
The following is a DFT calculation (PBE) of a relaxed structure of CaCo2Cu2.

Geometry as CIF:
```
data_CaCo2Cu2
_symmetry_space_group_name_H-M 'P 4/m b m'
_symmetry_Int_Tables_number 127
_symmetry_space_group_name_Hall '-P 4 2ab'
_cell_length_a 7.298
_cell_length_b 7.298
_cell_length_c 2.688
_cell_angle_alpha 90.00
_cell_angle_beta 90.00
_cell_angle_gamma 90.00
loop_
_atom_site_label
_atom_site_fract_x
_atom_site_fract_y
_atom_site_fract_z
_atom_site_occupancy
Ca1 0.000 0.000 0.000 1
Co1 0.112 0.388 0.000 1
Cu1 0.179 0.679 0.500 1
```

Summary:
Mass density ... 6.6 g/cm3
Density of states at the Fermi level ... 6.80 states/eV per cell

Q: Which of them is the least stable? A: two.